A plane-wave DFT calculation with PBE-GGA was carried out for an optimized crystal structure of Ce2Te2Br.

a = 4.5567 Å, b = 6.3330 Å, c = 12.1657 Å
α = 101.65°, β = 90.00°, γ = 90.00°
With the nearest neighbours (Å) after each atom.
Fractional coordinates of all 10 atoms:
1 Ce 0.7500 0.2185 0.4167  6 Te 3.13-3.24
2 Ce 0.2500 0.7815 0.5833  6 Te 3.13-3.24
3 Ce 0.7500 0.3723 0.8061  3 Br 3.00-3.28, 4 Te 3.18-3.27
4 Ce 0.2500 0.6277 0.1939  3 Br 3.00-3.28, 4 Te 3.18-3.27
5 Br 0.7500 0.7134 0.0479  3 Ce 3.00-3.28
6 Br 0.2500 0.2866 0.9521  3 Ce 3.00-3.28
7 Te 0.2500 0.1478 0.2361  4 Ce 3.13-3.23
8 Te 0.7500 0.8522 0.7639  4 Ce 3.13-3.23
9 Te 0.2500 0.2921 0.6096  6 Ce 3.18-3.27
10 Te 0.7500 0.7079 0.3904  6 Ce 3.18-3.27

Results
Its formation energy from raw total energies is -1.438 eV per atom. The total magnetization is 2.499 μB/f.u. The distance to the lowest polymorph of the same formula comes out at 0.000 eV per atom.

=====

A plane-wave DFT calculation with PBE-GGA was carried out for an optimized crystal structure of Ce7TeBr12.

a = 9.5545 Å, b = 9.5545 Å, c = 9.5545 Å
α = 108.21°, β = 108.21°, γ = 108.21°
With the nearest neighbours (Å) after each atom.
Fractional coordinates of all 20 atoms:
1 Br 0.3942 0.4757 0.1581  3 Ce 3.01-3.03
2 Br 0.2280 0.0753 0.6937  3 Ce 3.03-3.04
3 Br 0.5243 0.8419 0.6058  3 Ce 3.01-3.03
4 Br 0.8419 0.6058 0.5243  3 Ce 3.01-3.03
5 Br 0.3063 0.7720 0.9247  3 Ce 3.03-3.04
6 Br 0.6937 0.2280 0.0753  3 Ce 3.03-3.04
7 Br 0.0753 0.6937 0.2280  3 Ce 3.03-3.04
8 Br 0.9247 0.3063 0.7720  3 Ce 3.03-3.04
9 Br 0.1581 0.3942 0.4757  3 Ce 3.01-3.03
10 Br 0.6058 0.5243 0.8419  3 Ce 3.01-3.03
11 Br 0.4757 0.1581 0.3942  3 Ce 3.01-3.03
12 Br 0.7720 0.9247 0.3063  3 Ce 3.03-3.04
13 Ce 0.6526 0.8767 0.9530  1 Te 2.98, 5 Br 3.02-3.04
14 Ce 0.0470 0.3475 0.1233  1 Te 2.98, 5 Br 3.02-3.04
15 Ce 0.3475 0.1233 0.0470  1 Te 2.98, 5 Br 3.02-3.04
16 Ce 0.9530 0.6526 0.8767  1 Te 2.98, 5 Br 3.02-3.04
17 Ce 0.8767 0.9530 0.6526  1 Te 2.98, 5 Br 3.02-3.04
18 Ce 0.5000 0.5000 0.5000  6 Br 3.01
19 Ce 0.1233 0.0470 0.3474  1 Te 2.98, 5 Br 3.02-3.04
20 Te 0.0000 0.0000 0.0000  6 Ce 2.98

Results
Its formation energy from raw total energies is -1.578 eV per atom. The total magnetization is 8.373 μB/f.u.

=====

- What is the formula in the second record?
  Ce7TeBr12

=====

- The lowest formation energy from raw total energies belongs to which entry?
  Ce7TeBr12